Computed, not measured: a relaxed ErSc2Pa crystal at the PBE level of DFT.

abc: 5.281 5.281 5.281
angles: 60.00 60.00 60.00
Fractional coordinates of all 4 atoms:
Er 0.000 0.000 0.000
Sc 0.250 0.250 0.250
Sc 0.750 0.750 0.750
Pa 0.500 0.500 0.500

**Space group**: Fm-3m (225)
**DFT formation energy**: 0.21 eV per atom


Computed, not measured: a relaxed ErScPa crystal at the PBE level of DFT.

abc: 3.334 3.334 8.184
angles: 90.00 90.00 120.00
Fractional coordinates of all 3 atoms:
Er 0.000 0.000 0.000
Sc 0.333 0.667 0.650
Pa 0.667 0.333 0.334

**Space group**: P3m1 (156)
**DFT formation energy**: 0.09 eV per atom


Computed, not measured: a relaxed ErScPa crystal at the PBE level of DFT.

abc: 3.304 3.304 14.515
angles: 90.00 90.00 90.28
Fractional coordinates of all 6 atoms:
Er 0.250 0.750 0.752
Er 0.750 0.250 0.248
Sc 0.250 0.750 0.423
Sc 0.750 0.250 0.577
Pa 0.250 0.750 0.079
Pa 0.750 0.250 0.921

**Space group**: Cmme (67)
**DFT formation energy**: 0.08 eV per atom


Computed, not measured: a relaxed ErScPa crystal at the PBE level of DFT.

abc: 15.599 15.599 15.599
angles: 22.53 22.53 22.53
Fractional coordinates of all 18 atoms:
Er 0.041 0.041 0.041
Er 0.181 0.181 0.181
Er 0.265 0.265 0.265
Er 0.735 0.735 0.735
Er 0.819 0.819 0.819
Er 0.959 0.959 0.959
Sc 0.221 0.723 0.723
Sc 0.277 0.277 0.779
Sc 0.277 0.779 0.277
Sc 0.723 0.221 0.723
Sc 0.723 0.723 0.221
Sc 0.779 0.277 0.277
Pa 0.000 0.500 0.500
Pa 0.389 0.389 0.389
Pa 0.500 0.000 0.500
Pa 0.500 0.500 0.000
Pa 0.500 0.500 0.500
Pa 0.611 0.611 0.611

**Space group**: R-3m (166)
**DFT formation energy**: 0.23 eV per atom